Material: PmHoMgTl
Method: DFT, PBE-GGA
State: optimized geometry

Lattice parameters (Å, degrees): 7.624 7.624 7.624 90.00 90.00 90.00
Space group F-43m (No. 216)
Asymmetric unit:
Pm 0.000 0.000 0.000 (multiplicity 4)
Ho 0.000 0.000 0.500 (multiplicity 4)
Mg 0.250 0.250 0.750 (multiplicity 4)
Tl 0.250 0.250 0.250 (multiplicity 4)

- DOS(E_F) (states/eV/f.u.) = 3.38
- E_tot (eV for the cell shown) = -57.026
- M_tot (μB/f.u.) = 0.00


Material: Zr2BeReNi
Method: DFT, PBE-GGA
State: optimized geometry

Lattice parameters (Å, degrees): 5.000 5.000 4.536 90.00 90.00 90.00
Space group P4/mmm (No. 123)
Asymmetric unit:
Zr 0.000 0.500 0.000 (multiplicity 2)
Be 0.000 0.000 0.500 (multiplicity 1)
Re 0.500 0.500 0.000 (multiplicity 1)
Ni 0.500 0.500 0.500 (multiplicity 1)

- DOS(E_F) (states/eV/f.u.) = 4.99
- E_tot (eV for the cell shown) = -33.752
- M_tot (μB/f.u.) = 0.00


Material: NbP2WS
Method: DFT, PBE-GGA
State: optimized geometry

Lattice parameters (Å, degrees): 4.761 4.761 4.591 90.00 90.00 90.00
Space group P4/mmm (No. 123)
Asymmetric unit:
Nb 0.000 0.000 0.000 (multiplicity 1)
P 0.000 0.500 0.000 (multiplicity 2)
W 0.500 0.500 0.500 (multiplicity 1)
S 0.000 0.000 0.500 (multiplicity 1)

- DOS(E_F) (states/eV/f.u.) = 8.22
- excess energy over the best structure of this formula in the dataset (eV/f.u.) = 2.71
- M_tot (μB/f.u.) = 0.12
- uncorrected formation energy (eV/atom) = 1.28


Material: HfGa3Fe3
Method: DFT, PBE-GGA
State: optimized geometry

Lattice parameters (Å, degrees): 7.1502 7.1502 4.5493 90.00 90.00 120.00
Space group P6_3/m (No. 176)
Asymmetric unit:
Hf 0.3333 0.6667 0.2500 (multiplicity 2)
Ga 0.0165 0.7747 0.2500 (multiplicity 6)
Fe 0.0836 0.6226 0.7500 (multiplicity 6)

- DOS(E_F) (states/eV/f.u.) = 5.04
- E_tot (eV for the cell shown) = -89.411
- M_tot (μB/f.u.) = 4.92